Record 1
The following is a PBE calculation of a relaxed structure of Sr3Li2Hg, from the Alexandria database.

## Properties
The value obtained for the density is 3.56 g/cm3. As for the space-group type: Pnma. The formation enthalpy at 0 K comes out at -4.1 kcal/mol of atoms. The value obtained for the magnetization is 0.0 μB/f.u.

a b c (Å): 13.605 4.973 13.166
angles (deg): 90.00 90.00 90.00
Positions (direct):
Sr: 0.052 0.250 0.126
Sr: 0.114 0.750 0.561
Sr: 0.216 0.250 0.799
Sr: 0.284 0.750 0.299
Sr: 0.386 0.250 0.061
Sr: 0.448 0.750 0.626
Sr: 0.552 0.250 0.374
Sr: 0.614 0.750 0.939
Sr: 0.716 0.250 0.701
Sr: 0.784 0.750 0.201
Sr: 0.886 0.250 0.439
Sr: 0.948 0.750 0.874
Li: 0.032 0.750 0.313
Li: 0.204 0.750 0.001
Li: 0.296 0.250 0.501
Li: 0.468 0.250 0.813
Li: 0.532 0.750 0.187
Li: 0.704 0.750 0.499
Li: 0.796 0.250 0.999
Li: 0.968 0.250 0.687
Hg: 0.126 0.250 0.373
Hg: 0.374 0.750 0.873
Hg: 0.626 0.250 0.127
Hg: 0.874 0.750 0.627

***

Record 2
The following is a PBE calculation of a relaxed structure of Tb5Pm4Nd4, from the Alexandria database.

## Properties
The value obtained for the density is 7.39 g/cm3. As for the space-group type: I4/m. The formation enthalpy at 0 K comes out at 0.3 kcal/mol of atoms. The value obtained for the magnetization is 0.0 μB/f.u.

a b c (Å): 9.610 9.610 9.610
angles (deg): 94.05 94.05 149.18
Positions (direct):
Tb: 0.000 0.000 0.000
Tb: 0.310 0.461 0.772
Tb: 0.461 0.690 0.151
Tb: 0.539 0.310 0.849
Tb: 0.690 0.539 0.228
Pm: 0.153 0.229 0.382
Pm: 0.229 0.847 0.076
Pm: 0.771 0.153 0.924
Pm: 0.847 0.771 0.618
Nd: 0.078 0.616 0.695
Nd: 0.384 0.078 0.462
Nd: 0.616 0.922 0.538
Nd: 0.922 0.384 0.305

***

Record 3
The following is a PBE calculation of a relaxed structure of Sr2BeAu6, from the Alexandria database.

## Properties
The value obtained for the density is 11.77 g/cm3. As for the space-group type: Fm-3m. The formation enthalpy at 0 K comes out at -11.8 kcal/mol of atoms. The value obtained for the magnetization is 0.0 μB/f.u.

a b c (Å): 6.483 6.483 6.483
angles (deg): 60.00 60.00 60.00
Positions (direct):
Sr: 0.250 0.250 0.250
Sr: 0.750 0.750 0.750
Be: 0.000 0.000 0.000
Au: 0.264 0.264 0.736
Au: 0.264 0.736 0.264
Au: 0.264 0.736 0.736
Au: 0.736 0.264 0.264
Au: 0.736 0.264 0.736
Au: 0.736 0.736 0.264

***

Record 4
The following is a PBE calculation of a relaxed structure of Y3Se3N, from the Alexandria database.

## Properties
The value obtained for the density is 5.20 g/cm3. As for the space-group type: Pnma. The calculation puts the uncorrected formation energy at -12.888 eV/f.u. The value obtained for the magnetization is 0.0 μB/f.u.

a b c (Å): 12.608 3.955 13.270
angles (deg): 90.00 90.00 90.00
Positions (direct):
Y: 0.044 0.250 0.149
Y: 0.059 0.250 0.634
Y: 0.201 0.250 0.856
Y: 0.299 0.750 0.356
Y: 0.441 0.750 0.134
Y: 0.456 0.750 0.649
Y: 0.544 0.250 0.351
Y: 0.559 0.250 0.866
Y: 0.701 0.250 0.644
Y: 0.799 0.750 0.144
Y: 0.941 0.750 0.366
Y: 0.956 0.750 0.851
Se: 0.099 0.250 0.400
Se: 0.130 0.750 0.993
Se: 0.223 0.750 0.687
Se: 0.277 0.250 0.187
Se: 0.370 0.250 0.493
Se: 0.401 0.750 0.900
Se: 0.599 0.250 0.100
Se: 0.630 0.750 0.507
Se: 0.723 0.750 0.813
Se: 0.777 0.250 0.313
Se: 0.870 0.250 0.007
Se: 0.901 0.750 0.600
N: 0.033 0.250 0.797
N: 0.467 0.750 0.297
N: 0.533 0.250 0.703
N: 0.967 0.750 0.203

***

Record 5
The following is a PBE calculation of a relaxed structure of GdZrBi2, from the Alexandria database.

## Properties
The value obtained for the density is 10.22 g/cm3. As for the space-group type: P4/mmm. The formation enthalpy at 0 K comes out at -10.2 kcal/mol of atoms. The value obtained for the magnetization is 7.9 μB/f.u. The polymorph energy (0 for the lowest one) comes out at 0.115 eV per atom.

a b c (Å): 3.702 3.702 7.898
angles (deg): 90.00 90.00 90.00
Positions (direct):
Gd: 0.000 0.000 0.000
Zr: 0.000 0.000 0.500
Bi: 0.500 0.500 0.271
Bi: 0.500 0.500 0.729

***

Record 6
The following is a PBE calculation of a relaxed structure of Ba2AlGa3Au4, from the Alexandria database.

## Properties
The value obtained for the density is 9.16 g/cm3. As for the space-group type: P-4m2. The formation enthalpy at 0 K comes out at -13.4 kcal/mol of atoms. The value obtained for the magnetization is 0.0 μB/f.u.

a b c (Å): 4.703 4.703 10.641
angles (deg): 90.00 90.00 90.00
Positions (direct):
Ba: 0.000 0.500 0.249
Ba: 0.500 0.000 0.751
Al: 0.000 0.000 0.500
Ga: 0.000 0.500 0.878
Ga: 0.500 0.000 0.122
Ga: 0.500 0.500 0.500
Au: 0.000 0.000 0.000
Au: 0.000 0.500 0.622
Au: 0.500 0.000 0.378
Au: 0.500 0.500 0.000

***

Record 7
The following is a PBE calculation of a relaxed structure of HfTe, from the Alexandria database.

## Properties
The value obtained for the density is 10.75 g/cm3. As for the space-group type: I4_1md. The calculation puts the uncorrected formation energy at -1.294 eV/f.u. The value obtained for the magnetization is 0.0 μB/f.u.

a b c (Å): 3.802 3.802 13.077
angles (deg): 90.00 90.00 90.00
Positions (direct):
Hf: 0.000 0.000 0.000
Hf: 0.000 0.500 0.250
Hf: 0.500 0.000 0.750
Hf: 0.500 0.500 0.500
Te: 0.000 0.000 0.417
Te: 0.000 0.500 0.667
Te: 0.500 0.000 0.167
Te: 0.500 0.500 0.917

***

Record 8
The following is a PBE calculation of a relaxed structure of MnNbCrSi, from the Alexandria database.

## Properties
The value obtained for the density is 7.21 g/cm3. As for the space-group type: F-43m. The calculation puts the uncorrected formation energy at -1.049 eV/f.u. The value obtained for the magnetization is 2.0 μB/f.u.

a b c (Å): 5.944 5.944 5.944
angles (deg): 90.00 90.00 90.00
Positions (direct):
Mn: 0.000 0.000 0.000
Mn: 0.000 0.500 0.500
Mn: 0.500 0.000 0.500
Mn: 0.500 0.500 0.000
Nb: 0.250 0.250 0.750
Nb: 0.250 0.750 0.250
Nb: 0.750 0.250 0.250
Nb: 0.750 0.750 0.750
Cr: 0.000 0.000 0.500
Cr: 0.000 0.500 0.000
Cr: 0.500 0.000 0.000
Cr: 0.500 0.500 0.500
Si: 0.250 0.250 0.250
Si: 0.250 0.750 0.750
Si: 0.750 0.250 0.750
Si: 0.750 0.750 0.250